Record 1
# Th3PbC2, relaxed, DFT PBE
data_Th3PbC2
_chemical_formula_sum 'Th6 Pb2 C4'
_cell_length_a 4.507
_cell_length_b 12.510
_cell_length_c 5.256
_cell_angle_alpha 90.00
_cell_angle_beta 90.00
_cell_angle_gamma 90.00
_symmetry_space_group_name_H-M 'P m m n'
_symmetry_Int_Tables_number 59
loop_
_symmetry_equiv_pos_as_xyz
'x,y,z'
'-x,-y,-z'
'-x+1/2,-y+1/2,z'
'x+1/2,y+1/2,-z'
'x+1/2,-y,-z'
'-x+1/2,y,z'
'-x,y+1/2,-z'
'x,-y+1/2,z'
loop_
_atom_site_label
_atom_site_fract_x
_atom_site_fract_y
_atom_site_fract_z
Th1 0.250 0.017 0.241
Th2 0.250 0.250 0.721
Pb1 0.250 0.750 0.800
C1 0.250 0.057 0.689
# * ΔH_f (0 K): -288 meV/atom
# * density of states at the Fermi level: 1.54 states/eV per cell
# * spin magnetization: 0.000 μB per formula unit

=====

Record 2
# Th8Pb2C3, relaxed, DFT PBE
data_Th8Pb2C3
_chemical_formula_sum 'Th16 Pb4 C6'
_cell_length_a 15.872
_cell_length_b 7.352
_cell_length_c 6.627
_cell_angle_alpha 90.00
_cell_angle_beta 103.78
_cell_angle_gamma 90.00
_symmetry_space_group_name_H-M 'C 1 2/m 1'
_symmetry_Int_Tables_number 12
_symmetry_space_group_name_Hall '-C 2y'
loop_
_atom_site_label
_atom_site_fract_x
_atom_site_fract_y
_atom_site_fract_z
Th1 0.088 0.249 0.383
Th2 0.095 0.500 0.886
Th3 0.097 0.000 0.935
Pb1 0.249 0.000 0.679
C1 0.000 0.264 0.000
C2 0.000 0.500 0.500
# * ΔH_f (0 K): -168 meV/atom
# * density of states at the Fermi level: 14.58 states/eV per cell
# * spin magnetization: 0.000 μB per formula unit

=====

Record 3
# Th2Pb2C, relaxed, DFT PBE
data_Th2Pb2C
_chemical_formula_sum 'Th8 Pb8 C4'
_cell_length_a 4.048
_cell_length_b 15.099
_cell_length_c 9.169
_cell_angle_alpha 90.00
_cell_angle_beta 90.00
_cell_angle_gamma 90.00
_symmetry_space_group_name_H-M 'C m c 21'
_symmetry_Int_Tables_number 36
_symmetry_space_group_name_Hall 'C 2c -2'
loop_
_atom_site_label
_atom_site_fract_x
_atom_site_fract_y
_atom_site_fract_z
Th1 0.000 0.045 0.000
Th2 0.000 0.368 0.820
Pb1 0.000 0.266 0.505
Pb2 0.000 0.390 0.200
C1 0.000 0.050 0.269
# * ΔH_f (0 K): -91 meV/atom
# * density of states at the Fermi level: 9.98 states/eV per cell
# * ΔE to the lowest computed polymorph: 0.00 kcal/mol of atoms
# * spin magnetization: 0.000 μB per formula unit

=====

Record 4
# Th2Pb2C, relaxed, DFT PBE
data_Th2Pb2C
_chemical_formula_sum 'Th8 Pb8 C4'
_cell_length_a 6.219
_cell_length_b 6.222
_cell_length_c 14.485
_cell_angle_alpha 90.00
_cell_angle_beta 102.31
_cell_angle_gamma 90.00
_symmetry_space_group_name_H-M 'C 1 2/c 1'
_symmetry_Int_Tables_number 15
_symmetry_space_group_name_Hall '-C 2yc'
loop_
_atom_site_label
_atom_site_fract_x
_atom_site_fract_y
_atom_site_fract_z
Th1 0.211 0.125 0.171
Pb1 0.162 0.375 0.574
C1 0.000 0.126 0.750
# * ΔH_f (0 K): -58 meV/atom
# * density of states at the Fermi level: 19.06 states/eV per cell
# * ΔE to the lowest computed polymorph: 0.77 kcal/mol of atoms
# * spin magnetization: 0.000 μB per formula unit

=====

- What is the ΔH_f (0 K) in the second record?
  -168 meV/atom